A relaxed structure of NbSbHI2, computed with GGA-PBE.

Computed properties:
ΔE to the lowest computed polymorph = 192 meV per atom
Crystal system = tetragonal
Spin magnetization = 2.61 μB/f.u.
Electronic total energy = -3.355 eV/atom
Calculated density = 6.77 g cm⁻³

Lattice parameters (Å, degrees): 5.452 5.452 3.872 90.00 90.00 90.00
Space group P4/mmm (No. 123)
Symmetry-distinct sites (fractional):
Nb (0.000, 0.000, 0.000) (multiplicity 1)
Sb (0.500, 0.500, 0.000) (multiplicity 1)
H (0.500, 0.500, 0.500) (multiplicity 1)
I (0.000, 0.500, 0.500) (multiplicity 2)